Record 1
Here is a geometry-optimized Ta2InCu structure from the Alexandria database. Energies are from PBE.

Cell and atoms, written as POSCAR:
```
Ta2InCu
1.0
-3.692 3.692 2.742
3.692 -3.692 2.742
3.692 3.692 -2.742
Ta In Cu
4 2 2
Direct
0.097 0.125 0.472 Ta
0.375 0.903 0.028 Ta
0.653 0.625 0.528 Ta
0.875 0.347 0.972 Ta
0.250 0.750 0.500 In
0.500 0.500 0.000 In
0.000 0.000 0.000 Cu
0.750 0.250 0.500 Cu
```

Summary:
As for the magnetic moment: 0.0 μB per formula unit. The calculation puts the calculated volume at 149.5 Å³ per cell. The crystal system is tetragonal. The formation energy comes out at 0.611 eV per atom.


Record 2
Here is a geometry-optimized KTaRu2 structure from the Alexandria database. Energies are from PBE.

Cell and atoms, written as POSCAR:
```
KTaRu2
1.0
2.827 0.000 0.000
0.000 3.785 0.000
0.000 0.000 8.444
K Ta Ru
1 1 2
Direct
0.000 0.000 0.000 K
0.500 0.500 0.623 Ta
0.000 0.000 0.447 Ru
0.500 0.500 0.326 Ru
```

Summary:
As for the magnetic moment: 0.0 μB per formula unit. Its energy above the lowest structure with this stoichiometry is 276 meV/atom. The calculation puts the calculated volume at 90.4 Å³ per cell. The crystal system is orthorhombic. The formation energy comes out at 0.633 eV per atom.


Record 3
Here is a geometry-optimized BaPbF2 structure from the Alexandria database. Energies are from PBE.

Cell and atoms, written as POSCAR:
```
BaPbF2
1.0
2.095 1.210 7.483
-2.095 1.210 7.483
0.000 -2.419 7.483
Ba Pb F
1 1 2
Direct
0.000 0.000 0.000 Ba
0.500 0.500 0.500 Pb
0.378 0.378 0.378 F
0.622 0.622 0.622 F
```

Summary:
As for the magnetic moment: 0.0 μB per formula unit. Its energy above the lowest structure with this stoichiometry is 0 meV/atom. As for the uncorrected formation energy: -2.52 eV per atom. The calculation puts the calculated volume at 113.8 Å³ per cell. The crystal system is trigonal.


Record 4
Here is a geometry-optimized LiTaOs2 structure from the Alexandria database. Energies are from PBE.

Cell and atoms, written as POSCAR:
```
LiTaOs2
1.0
2.758 0.000 0.000
0.000 4.334 0.000
-0.840 0.000 4.903
Li Ta Os
1 1 2
Direct
0.000 0.000 0.000 Li
0.387 0.500 0.789 Ta
0.556 0.000 0.482 Os
0.932 0.500 0.279 Os
```

Summary:
As for the magnetic moment: 0.0 μB per formula unit. The calculation puts the calculated volume at 58.6 Å³ per cell. The crystal system is monoclinic. The formation energy comes out at 0.112 eV per atom.


Record 5
Here is a geometry-optimized CaOs2W structure from the Alexandria database. Energies are from PBE.

Cell and atoms, written as POSCAR:
```
CaOs2W
1.0
3.252 0.000 0.000
0.000 3.252 0.000
0.000 0.000 7.192
Ca Os W
1 2 1
Direct
0.000 0.000 0.000 Ca
0.000 0.000 0.499 Os
0.500 0.500 0.292 Os
0.500 0.500 0.660 W
```

Summary:
As for the magnetic moment: 0.0 μB per formula unit. Its energy above the lowest structure with this stoichiometry is 455 meV/atom. The calculation puts the calculated volume at 76.1 Å³ per cell. The crystal system is tetragonal. The formation energy comes out at 0.718 eV per atom.


Record 6
Here is a geometry-optimized MgCuPb2 structure from the Alexandria database. Energies are from PBE.

Cell and atoms, written as POSCAR:
```
MgCuPb2
1.0
3.555 0.000 0.000
0.000 4.239 0.000
-1.096 0.000 6.406
Mg Cu Pb
1 1 2
Direct
0.000 0.000 0.000 Mg
0.000 0.000 0.500 Cu
0.396 0.500 0.731 Pb
0.604 0.500 0.269 Pb
```

Summary:
As for the magnetic moment: 0.0 μB per formula unit. The calculation puts the calculated volume at 96.5 Å³ per cell. The crystal system is monoclinic. The formation energy comes out at 0.145 eV per atom.


Record 7
Here is a geometry-optimized NbCrSN2 structure from the Alexandria database. Energies are from PBE.

Cell and atoms, written as POSCAR:
```
NbCrSN2
1.0
3.975 0.000 0.000
0.000 3.975 0.000
0.000 0.000 5.184
Nb Cr S N
1 1 1 2
Direct
0.000 0.000 0.000 Nb
0.500 0.500 0.500 Cr
0.000 0.000 0.500 S
0.000 0.500 0.000 N
0.500 0.000 0.000 N
```

Summary:
As for the magnetic moment: 3.6 μB per formula unit. Its energy above the lowest structure with this stoichiometry is 0 meV/atom. As for the uncorrected formation energy: 0.31 eV per atom. The calculation puts the calculated volume at 81.9 Å³ per cell. The crystal system is tetragonal.


Record 8
Here is a geometry-optimized Tb2Pa2Ru3 structure from the Alexandria database. Energies are from PBE.

Cell and atoms, written as POSCAR:
```
Tb2Pa2Ru3
1.0
5.933 0.000 0.000
0.000 10.155 0.000
-0.299 0.000 5.249
Tb Pa Ru
4 4 6
Direct
0.133 0.145 0.052 Tb
0.133 0.355 0.552 Tb
0.867 0.645 0.448 Tb
0.867 0.855 0.948 Tb
0.365 0.633 0.875 Pa
0.365 0.867 0.375 Pa
0.635 0.133 0.625 Pa
0.635 0.367 0.125 Pa
0.000 0.000 0.500 Ru
0.000 0.500 0.000 Ru
0.360 0.601 0.371 Ru
0.360 0.899 0.871 Ru
0.640 0.101 0.129 Ru
0.640 0.399 0.629 Ru
```

Summary:
As for the magnetic moment: 0.0 μB per formula unit. Its energy above the lowest structure with this stoichiometry is 0 meV/atom. The calculation puts the calculated volume at 316.3 Å³ per cell. The crystal system is monoclinic. The formation energy comes out at -0.442 eV per atom.


Record 9
Here is a geometry-optimized TlCu3As3 structure from the Alexandria database. Energies are from PBE.

Cell and atoms, written as POSCAR:
```
TlCu3As3
1.0
6.738 0.000 0.000
0.000 6.738 0.000
0.000 0.000 6.738
Tl Cu As
2 6 6
Direct
0.000 0.000 0.000 Tl
0.500 0.500 0.500 Tl
0.000 0.250 0.500 Cu
0.000 0.750 0.500 Cu
0.250 0.500 0.000 Cu
0.500 0.000 0.250 Cu
0.500 0.000 0.750 Cu
0.750 0.500 0.000 Cu
0.000 0.500 0.250 As
0.000 0.500 0.750 As
0.250 0.000 0.500 As
0.500 0.250 0.000 As
0.500 0.750 0.000 As
0.750 0.000 0.500 As
```

Summary:
As for the magnetic moment: 0.0 μB per formula unit. The calculation puts the calculated volume at 305.9 Å³ per cell. The crystal system is cubic. The formation energy comes out at 0.160 eV per atom.


Record 10
Here is a geometry-optimized Dy5ScCd3 structure from the Alexandria database. Energies are from PBE.

Cell and atoms, written as POSCAR:
```
Dy5ScCd3
1.0
9.116 0.000 0.000
-4.558 7.895 0.000
0.000 0.000 6.805
Dy Sc Cd
10 2 6
Direct
0.000 0.324 0.250 Dy
0.000 0.676 0.750 Dy
0.324 0.000 0.250 Dy
0.324 0.324 0.750 Dy
0.333 0.667 0.000 Dy
0.333 0.667 0.500 Dy
0.667 0.333 0.000 Dy
0.667 0.333 0.500 Dy
0.676 0.000 0.750 Dy
0.676 0.676 0.250 Dy
0.000 0.000 0.000 Sc
0.000 0.000 0.500 Sc
0.000 0.337 0.750 Cd
0.000 0.663 0.250 Cd
0.337 0.000 0.750 Cd
0.337 0.337 0.250 Cd
0.663 0.000 0.250 Cd
0.663 0.663 0.750 Cd
```

Summary:
As for the magnetic moment: 0.0 μB per formula unit. The calculation puts the calculated volume at 489.7 Å³ per cell. The crystal system is hexagonal. The formation energy comes out at -0.180 eV per atom.


Record 11
Here is a geometry-optimized Tm6Hg5Au structure from the Alexandria database. Energies are from PBE.

Cell and atoms, written as POSCAR:
```
Tm6Hg5Au
1.0
2.577 -7.764 0.000
2.577 7.764 0.000
0.000 0.000 7.311
Tm Hg Au
6 5 1
Direct
0.000 0.000 0.242 Tm
0.000 0.000 0.758 Tm
0.337 0.663 0.247 Tm
0.337 0.663 0.753 Tm
0.663 0.337 0.247 Tm
0.663 0.337 0.753 Tm
0.168 0.832 0.500 Hg
0.170 0.830 0.000 Hg
0.500 0.500 0.500 Hg
0.830 0.170 0.000 Hg
0.832 0.168 0.500 Hg
0.500 0.500 0.000 Au
```

Summary:
As for the magnetic moment: 0.0 μB per formula unit. The calculation puts the calculated volume at 292.6 Å³ per cell. The crystal system is orthorhombic. The formation energy comes out at -0.544 eV per atom.


Record 12
Here is a geometry-optimized Mg3CoW structure from the Alexandria database. Energies are from PBE.

Cell and atoms, written as POSCAR:
```
Mg3CoW
1.0
5.216 0.000 0.000
0.000 5.216 0.000
0.000 0.000 5.216
Mg Co W
3 1 1
Direct
0.000 0.000 0.500 Mg
0.000 0.500 0.000 Mg
0.500 0.000 0.000 Mg
0.500 0.500 0.500 Co
0.000 0.000 0.000 W
```

Summary:
As for the magnetic moment: 4.9 μB per formula unit. The calculation puts the calculated volume at 141.9 Å³ per cell. The crystal system is cubic. The formation energy comes out at 1.818 eV per atom.


Record 13
Here is a geometry-optimized La4InAg structure from the Alexandria database. Energies are from PBE.

Cell and atoms, written as POSCAR:
```
La4InAg
1.0
3.917 0.000 0.000
0.000 3.917 0.000
0.000 0.000 12.586
La In Ag
4 1 1
Direct
0.000 0.000 0.145 La
0.000 0.000 0.855 La
0.500 0.500 0.345 La
0.500 0.500 0.655 La
0.000 0.000 0.500 In
0.500 0.500 0.000 Ag
```

Summary:
As for the magnetic moment: 1.6 μB per formula unit. Its energy above the lowest structure with this stoichiometry is 0 meV/atom. The calculation puts the calculated volume at 193.1 Å³ per cell. The crystal system is tetragonal. The formation energy comes out at -0.227 eV per atom.


Record 14
Here is a geometry-optimized Mn2TlC structure from the Alexandria database. Energies are from PBE.

Cell and atoms, written as POSCAR:
```
Mn2TlC
1.0
0.000 3.118 3.118
3.118 0.000 3.118
3.118 3.118 0.000
Mn Tl C
2 1 1
Direct
0.250 0.250 0.250 Mn
0.750 0.750 0.750 Mn
0.000 0.000 0.000 Tl
0.500 0.500 0.500 C
```

Summary:
As for the magnetic moment: 7.0 μB per formula unit. The calculation puts the calculated volume at 60.6 Å³ per cell. The crystal system is cubic. The formation energy comes out at 1.521 eV per atom.


Record 15
Here is a geometry-optimized Ba4In2O7 structure from the Alexandria database. Energies are from PBE.

Cell and atoms, written as POSCAR:
```
Ba4In2O7
1.0
-2.108 2.108 14.342
2.108 -2.108 14.342
2.108 2.108 -14.342
Ba In O
4 2 7
Direct
0.000 0.000 0.000 Ba
0.122 0.122 0.000 Ba
0.252 0.252 0.000 Ba
0.850 0.850 0.000 Ba
0.425 0.425 0.000 In
0.683 0.683 0.000 In
0.185 0.685 0.500 O
0.353 0.353 0.000 O
0.448 0.948 0.500 O
0.599 0.599 0.000 O
0.685 0.185 0.500 O
0.767 0.767 0.000 O
0.948 0.448 0.500 O
```

Summary:
As for the magnetic moment: 0.0 μB per formula unit. Its energy above the lowest structure with this stoichiometry is 36 meV/atom. As for the uncorrected formation energy: -2.06 eV per atom. The calculation puts the calculated volume at 254.9 Å³ per cell. The crystal system is tetragonal.


Record 16
Here is a geometry-optimized Ni8PdPt5 structure from the Alexandria database. Energies are from PBE.

Cell and atoms, written as POSCAR:
```
Ni8PdPt5
1.0
-3.424 3.424 4.161
3.424 -3.424 4.161
3.424 3.424 -4.161
Ni Pd Pt
8 1 5
Direct
0.164 0.425 0.557 Ni
0.277 0.187 0.243 Ni
0.392 0.836 0.261 Ni
0.575 0.132 0.739 Ni
0.813 0.055 0.090 Ni
0.868 0.608 0.443 Ni
0.945 0.035 0.757 Ni
0.965 0.723 0.910 Ni
0.500 0.500 0.000 Pd
0.032 0.464 0.124 Pt
0.092 0.968 0.432 Pt
0.340 0.908 0.876 Pt
0.536 0.660 0.568 Pt
0.750 0.250 0.500 Pt
```

Summary:
As for the magnetic moment: 8.1 μB per formula unit. The calculation puts the calculated volume at 195.2 Å³ per cell. The crystal system is tetragonal. The formation energy comes out at 0.130 eV per atom.


Record 17
Here is a geometry-optimized Y3HoTe6 structure from the Alexandria database. Energies are from PBE.

Cell and atoms, written as POSCAR:
```
Y3HoTe6
1.0
6.401 3.696 5.162
-6.401 3.696 5.162
0.000 -7.392 5.162
Y Ho Te
6 2 12
Direct
0.075 0.582 0.743 Y
0.257 0.925 0.418 Y
0.418 0.257 0.925 Y
0.582 0.743 0.075 Y
0.743 0.075 0.582 Y
0.925 0.418 0.257 Y
0.000 0.000 0.000 Ho
0.500 0.500 0.500 Ho
0.039 0.910 0.680 Te
0.090 0.320 0.961 Te
0.185 0.586 0.409 Te
0.320 0.961 0.090 Te
0.409 0.185 0.586 Te
0.414 0.591 0.815 Te
0.586 0.409 0.185 Te
0.591 0.815 0.414 Te
0.680 0.039 0.910 Te
0.815 0.414 0.591 Te
0.910 0.680 0.039 Te
0.961 0.090 0.320 Te
```

Summary:
As for the magnetic moment: 0.0 μB per formula unit. Its energy above the lowest structure with this stoichiometry is 30 meV/atom. As for the uncorrected formation energy: -1.35 eV per atom. The calculation puts the calculated volume at 732.7 Å³ per cell. The crystal system is trigonal.


Record 18
Here is a geometry-optimized Mn2TcSe structure from the Alexandria database. Energies are from PBE.

Cell and atoms, written as POSCAR:
```
Mn2TcSe
1.0
4.363 -1.552 0.000
4.363 1.552 0.000
-1.201 0.000 4.199
Mn Tc Se
2 1 1
Direct
0.000 0.000 0.000 Mn
0.734 0.734 0.122 Mn
0.508 0.508 0.500 Tc
0.247 0.247 0.649 Se
```

Summary:
As for the magnetic moment: 0.6 μB per formula unit. As for the uncorrected formation energy: 0.12 eV per atom. The calculation puts the calculated volume at 56.9 Å³ per cell. The crystal system is monoclinic.


Record 19
Here is a geometry-optimized H2ClF structure from the Alexandria database. Energies are from PBE.

Cell and atoms, written as POSCAR:
```
H2ClF
1.0
-2.024 2.024 4.308
2.024 -2.024 4.308
2.024 2.024 -4.308
H Cl F
4 2 2
Direct
0.103 0.625 0.978 H
0.375 0.353 0.478 H
0.647 0.125 0.022 H
0.875 0.897 0.522 H
0.000 0.000 0.000 Cl
0.750 0.250 0.500 Cl
0.250 0.750 0.500 F
0.500 0.500 0.000 F
```

Summary:
As for the magnetic moment: 0.0 μB per formula unit. Its energy above the lowest structure with this stoichiometry is 781 meV/atom. The calculation puts the calculated volume at 70.6 Å³ per cell. The crystal system is tetragonal.


Record 20
Here is a geometry-optimized BePb3 structure from the Alexandria database. Energies are from PBE.

Cell and atoms, written as POSCAR:
```
BePb3
1.0
4.658 -6.189 0.000
4.658 6.189 0.000
0.000 0.000 3.810
Be Pb
2 6
Direct
0.041 0.959 0.750 Be
0.959 0.041 0.250 Be
0.057 0.314 0.750 Pb
0.314 0.057 0.250 Pb
0.383 0.617 0.250 Pb
0.617 0.383 0.750 Pb
0.686 0.943 0.750 Pb
0.943 0.686 0.250 Pb
```

Summary:
As for the magnetic moment: 0.0 μB per formula unit. Its energy above the lowest structure with this stoichiometry is 0 meV/atom. The calculation puts the calculated volume at 219.7 Å³ per cell. The crystal system is orthorhombic. The formation energy comes out at 0.256 eV per atom.